--- w ---
An optimized crystal structure of BiTe2Br, computed with GGA-PBEsol.

The structure in extended XYZ format:
```
4
Lattice="5.364 0.000 0.000 2.682 4.646 0.000 2.682 1.549 4.380" Properties=species:S:1:pos:R:3 pbc="T T T"
Te 2.682 1.549 1.095
Te 8.046 4.646 3.285
Bi 5.364 3.097 2.190
Br 0.000 0.000 0.000
```



--- x ---
An optimized crystal structure of BiTe2Br, computed with GGA-PBEsol.

The structure in extended XYZ format:
```
4
Lattice="-2.297 -2.428 -3.036 0.743 -4.438 -0.369 -6.881 -3.858 4.935" Properties=species:S:1:pos:R:3 pbc="T T T"
Te -3.508 -7.349 -1.541
Te -4.927 -3.376 3.071
Bi -4.218 -5.363 0.765
Br 0.000 0.000 0.000
```



Which structure wins on stability? x wins.



--- w ---
An optimized crystal structure of NaBiC3, computed with GGA-PBEsol.

The structure in extended XYZ format:
```
5
Lattice="4.197 0.000 0.000 0.000 4.197 0.000 0.000 0.000 4.197" Properties=species:S:1:pos:R:3 pbc="T T T"
Na 0.000 0.000 0.000
C 0.000 2.099 0.000
C 0.000 0.000 2.099
C 2.099 0.000 0.000
Bi 2.099 2.099 2.099
```



--- x ---
An optimized crystal structure of NaBiC3, computed with GGA-PBEsol.

The structure in extended XYZ format:
```
5
Lattice="-4.084 0.376 -1.994 -1.433 -3.706 2.237 -1.436 2.629 3.437" Properties=species:S:1:pos:R:3 pbc="T T T"
Na -3.476 -0.351 1.840
C -0.716 -1.853 1.118
C -0.718 1.315 1.719
C -2.042 0.188 -0.997
Bi 0.000 0.000 0.000
```



Which structure wins on stability? x wins.



--- w ---
An optimized crystal structure of Na4Bi2C4SO16, computed with GGA-PBEsol.

The structure in extended XYZ format:
```
54
Lattice="10.016 -0.025 0.000 -0.203 10.014 0.000 -4.906 -4.994 7.690" Properties=species:S:1:pos:R:3 pbc="T T T"
Na 7.057 -2.026 3.845
Na 6.993 2.008 3.845
Na 6.892 7.015 0.000
Na 6.956 2.981 0.000
Na 2.958 2.001 3.845
Na 3.023 -2.033 3.845
Na 2.921 2.974 0.000
Na 2.857 7.008 0.000
Bi -2.605 5.013 5.768
Bi 2.403 5.001 5.768
Bi -0.152 7.510 1.923
Bi -0.051 2.503 1.923
C 8.002 -0.047 1.345
C 7.900 4.959 2.500
C 5.096 -3.005 6.345
C 4.920 2.980 6.345
C 0.088 -2.993 5.190
C -0.088 2.993 5.190
C 2.014 0.023 1.345
C 1.913 5.029 2.500
S 4.906 4.994 0.000
S 5.008 -0.012 3.845
O -1.449 -0.715 2.284
O 4.891 6.227 0.841
O 7.248 9.374 0.341
O 7.349 4.367 3.504
O -4.337 -2.419 7.349
O 7.898 6.260 2.420
O -1.233 -0.007 6.849
O 4.922 3.762 0.841
O 1.212 3.014 5.270
O 4.337 2.419 7.349
O 8.465 4.267 1.562
O 1.233 0.007 6.849
O 5.595 6.456 5.407
O 4.218 3.533 5.407
O 7.999 1.253 1.425
O -1.212 -3.014 5.270
O -3.796 3.026 6.265
O 1.915 3.729 2.420
O 0.790 -3.545 6.129
O -0.790 3.545 6.129
O 3.775 -0.019 4.686
O 1.449 0.715 2.284
O 0.671 -2.431 4.186
O 3.796 -3.026 6.265
O 4.993 1.220 3.004
O 6.241 -0.006 4.686
O 1.813 8.736 1.425
O -0.671 2.431 4.186
O 2.565 0.615 0.341
O 2.464 5.622 3.504
O 5.023 -1.245 3.004
O 1.348 5.722 1.562
```



--- x ---
An optimized crystal structure of Na4Bi2C4SO16, computed with GGA-PBEsol.

The structure in extended XYZ format:
```
54
Lattice="10.177 0.038 0.000 -0.215 10.175 0.000 -4.981 -5.107 7.355" Properties=species:S:1:pos:R:3 pbc="T T T"
Na 1.908 8.104 0.000
Na 4.981 5.106 4.319
Na 7.926 8.126 0.000
Na 2.036 2.087 0.000
Na -2.047 3.099 3.677
Na 8.053 2.109 0.000
Na 0.000 0.000 3.036
Na 1.832 7.076 3.677
Bi 4.991 2.483 1.804
Bi -2.623 -0.056 5.551
Bi 2.623 0.056 5.551
Bi 4.971 7.730 1.804
C 3.098 5.130 1.346
C 5.177 2.120 5.089
C 2.990 -0.122 2.266
C 5.000 -2.082 5.089
C 6.864 5.083 1.346
C -0.071 1.882 6.009
C 0.071 -1.882 6.009
C 7.187 0.160 2.266
S -0.108 5.087 3.677
S 0.000 0.000 0.000
O 3.692 5.822 2.278
O 6.482 2.090 5.165
O 2.441 5.747 0.422
O 4.608 2.757 4.119
O 3.178 3.842 1.338
O -0.108 6.314 2.820
O 1.119 5.118 4.535
O 4.476 1.526 5.993
O 3.567 0.594 1.361
O 5.701 -1.488 5.993
O -1.334 5.057 4.535
O -0.107 3.861 2.820
O 1.219 1.834 6.016
O 6.784 6.371 1.338
O 5.569 -2.719 4.119
O 2.339 0.431 3.235
O 7.521 4.466 0.422
O -0.703 2.523 6.933
O 3.695 -2.052 5.165
O 3.053 -1.425 2.190
O -0.019 1.213 0.866
O -3.983 5.080 6.488
O 6.270 4.391 2.278
O -0.748 1.271 5.076
O 0.748 -1.271 5.076
O -0.196 8.962 0.866
O 3.768 5.095 6.488
O 7.124 1.463 2.190
O 0.703 -2.523 6.933
O 7.838 -0.393 3.235
O -1.219 -1.834 6.016
O 6.610 -0.556 1.361
```



Which structure wins on stability? w wins.